Version P
LiCuF3: relaxed, PBE.

Cell and atoms, written as extended XYZ:
```
20
Lattice="8.8401 0.0000 0.0000 0.0000 3.3810 3.7426 0.0000 -3.3810 3.7426" Properties=species:S:1:pos:R:3 pbc="T T T"
Li 0.0000 0.0000 0.0000
Li 0.0000 -1.6671 5.6228
Li 0.0000 1.6671 5.6228
Li 4.4201 0.0000 3.3271
Cu 1.6136 0.0000 3.7744
Cu 2.9026 0.0000 0.0319
Cu 5.9375 0.0000 0.0319
Cu 7.2265 0.0000 3.7744
F 0.0000 -1.2973 3.7451
F 0.0000 1.2973 3.7451
F 1.3113 0.0000 6.0550
F 1.3428 0.0000 1.3906
F 2.9277 -1.3558 3.7183
F 2.9277 1.3558 3.7183
F 4.4201 0.0000 1.3794
F 4.4201 0.0000 6.2888
F 5.9124 -1.3558 3.7183
F 5.9124 1.3558 3.7183
F 7.4973 0.0000 1.3906
F 7.5288 0.0000 6.0550
```

Values from the calculation:
Total magnetic moment in μB/atom: 0.20
Symmetry: Amm2 (38)

=====

Version Q
LiCuF3: relaxed, PBE.

Cell and atoms, written as extended XYZ:
```
10
Lattice="5.3862 0.0000 0.0000 0.0000 3.0302 0.0000 -2.3603 0.0000 7.5500" Properties=species:S:1:pos:R:3 pbc="T T T"
Li -0.2440 0.7575 2.8809
Li 3.2699 2.2726 4.6691
Cu 0.6323 0.7575 6.2152
Cu 2.3936 2.2726 1.3347
F -0.6545 0.7575 4.8022
F 1.6053 0.7575 0.0088
F 0.9198 2.2726 2.4630
F 2.1062 0.7575 5.0870
F 1.4207 2.2726 7.5411
F 3.6804 2.2726 2.7477
```

Values from the calculation:
Total magnetic moment in μB/atom: 0.20
Symmetry: P2_1/m (11)

=====

Version R
LiCuF3: relaxed, PBE.

Cell and atoms, written as extended XYZ:
```
20
Lattice="3.3065 0.0000 0.0000 0.0000 9.8327 0.0000 -2.2045 0.0000 7.3850" Properties=species:S:1:pos:R:3 pbc="T T T"
Li -1.0474 1.8526 3.5596
Li -2.1497 3.0637 7.2521
Li 3.2517 6.7689 0.1329
Li 2.1494 7.9801 3.8254
Cu 0.6128 0.0412 1.3864
Cu -0.4894 4.8751 5.0789
Cu 1.5914 4.9575 2.3061
Cu 0.4891 9.7915 5.9987
F -0.5828 6.0858 3.5150
F -1.6851 8.6632 7.2075
F -0.9591 0.8970 5.1986
F 0.1432 4.0194 1.5060
F 0.6152 1.3805 2.7236
F -0.4871 3.5359 6.4161
F 1.5891 6.2968 0.9689
F 0.4868 8.4522 4.6615
F 0.9588 5.8133 5.8790
F 2.0611 8.9357 2.1865
F 2.7870 1.1694 0.1775
F 1.6848 3.7469 3.8700
```

Values from the calculation:
Total magnetic moment in μB/atom: 0.20
Symmetry: P2_1/c (14)

=====

Version S
LiCuF3: relaxed, PBE.

Cell and atoms, written as extended XYZ:
```
30
Lattice="5.0178 0.0000 0.0000 -2.5089 4.3455 0.0000 0.0000 0.0000 14.3915" Properties=species:S:1:pos:R:3 pbc="T T T"
Li 0.0000 0.2932 3.5979
Li -2.2550 4.1990 13.1922
Li 0.2539 0.1466 1.1993
Li 2.2550 4.1990 8.3951
Li 4.7639 0.1466 5.9965
Li 2.5089 4.0524 10.7936
Cu 0.0000 2.6718 10.7936
Cu -0.1950 3.0096 5.9965
Cu 0.1950 3.0096 1.1993
Cu 2.3139 1.3359 8.3951
Cu 2.7039 1.3359 13.1922
Cu 2.5089 1.6737 3.5979
F -0.7062 1.2232 11.9929
F -1.8027 3.1223 4.7972
F -0.6079 1.6160 2.2791
F -1.4134 3.0111 0.1195
F 1.4124 0.0000 7.1958
F 0.7062 1.2232 9.5944
F 0.6079 1.6160 4.9167
F -0.8055 4.0640 11.8734
F 1.7035 0.2815 2.5181
F 1.0955 1.3345 14.2720
F 1.4134 3.0111 7.0762
F 0.8055 4.0640 9.7139
F 3.3144 0.2815 4.6776
F 1.9010 2.7296 12.1125
F 3.6054 0.0000 0.0000
F 1.8027 3.1223 2.3986
F 3.9223 1.3345 7.3153
F 3.1168 2.7296 9.4748
```

Values from the calculation:
Total magnetic moment in μB/atom: 0.20
Symmetry: P6_122 (178)

=====

Which structure wins on stability? version R wins.

=====

Version P
LiCuF3: relaxed, PBE.

Cell and atoms, written as extended XYZ:
```
10
Lattice="2.5607 1.4784 4.6778 -2.5607 1.4784 4.6778 0.0000 -2.9568 4.6778" Properties=species:S:1:pos:R:3 pbc="T T T"
Li 0.0000 0.0000 0.0000
Li 0.0000 0.0000 7.0167
Cu 0.0000 0.0000 4.1753
Cu 0.0000 0.0000 11.1920
F -0.8304 -1.3468 5.4800
F -1.8095 -0.0858 7.8189
F -0.7511 1.3926 5.4800
F 0.9791 -1.5242 7.8189
F 1.5816 -0.0458 5.4800
F 0.8304 1.6100 7.8189
```

Values from the calculation:
Total magnetic moment in μB/atom: 0.20
Symmetry: R3c (161)

=====

Version Q
LiCuF3: relaxed, PBE.

Cell and atoms, written as extended XYZ:
```
20
Lattice="8.5328 0.0000 0.0000 0.0000 4.9910 0.0000 0.0000 0.0000 5.3393" Properties=species:S:1:pos:R:3 pbc="T T T"
Li 0.0000 1.0845 0.0000
Li 0.0000 3.6425 4.9197
Li 4.2664 1.3485 2.2500
Li 4.2664 3.9064 2.6696
Cu 1.5150 3.7526 2.2898
Cu 2.7514 1.2383 4.9594
Cu 5.7814 1.2383 4.9594
Cu 7.0178 3.7526 2.2898
F 0.0000 2.8200 3.1341
F 0.0000 4.6810 1.3753
F 1.3731 0.0844 4.3001
F 1.3826 2.3685 0.3736
F 2.8838 2.6224 3.0433
F 2.8933 4.9066 1.6305
F 4.2664 0.3099 4.0449
F 4.2664 2.1709 0.4645
F 5.6395 4.9066 1.6305
F 5.6490 2.6224 3.0433
F 7.1502 2.3685 0.3736
F 7.1597 0.0844 4.3001
```

Values from the calculation:
Total magnetic moment in μB/atom: 0.20
Symmetry: Pmn2_1 (31)

=====

Version R
LiCuF3: relaxed, PBE.

Cell and atoms, written as extended XYZ:
```
5
Lattice="3.6608 0.0000 0.0000 0.0000 3.6608 0.0000 0.0000 0.0000 3.6608" Properties=species:S:1:pos:R:3 pbc="T T T"
Li 0.0000 0.0000 0.0000
Cu 1.8304 1.8304 1.8304
F 0.0000 0.0000 1.8304
F 0.0000 1.8304 0.0000
F 1.8304 0.0000 0.0000
```

Values from the calculation:
Total magnetic moment in μB/atom: 0.20
Symmetry: Pm-3m (221)

=====

Which structure wins on stability? version P wins.

=====

Version P
LiCuF3: relaxed, PBE.

Cell and atoms, written as extended XYZ:
```
20
Lattice="5.4160 -4.2241 0.0000 5.4160 4.2241 0.0000 -2.3501 0.0000 5.6651" Properties=species:S:1:pos:R:3 pbc="T T T"
Li 1.7367 0.6321 0.8970
Li 0.5617 -0.6321 3.7295
Li 7.9202 0.6321 1.9356
Li 6.7452 -0.6321 4.7681
Cu 4.8285 2.2631 1.4163
Cu 3.6535 0.7640 4.2488
Cu 4.8285 -0.7640 1.4163
Cu 3.6535 -2.2631 4.2488
F -0.4314 0.6641 4.6447
F 2.3512 2.0157 4.7275
F 0.7437 -0.6641 1.8122
F 3.5454 0.7286 1.5979
F 4.9557 2.0157 3.7701
F 2.3704 -0.7286 4.4304
F 6.1116 0.7286 1.2346
F 3.5262 -2.0157 1.8950
F 4.9365 -0.7286 4.0672
F 7.7383 0.6641 3.8529
F 6.1308 -2.0157 0.9375
F 8.9133 -0.6641 1.0203
```

Values from the calculation:
Total magnetic moment in μB/atom: 0.20
Symmetry: C2/c (15)

=====

Version Q
LiCuF3: relaxed, PBE.

Cell and atoms, written as extended XYZ:
```
5
Lattice="3.9545 0.0000 0.0000 0.0000 3.9545 0.0000 0.0000 0.0000 3.9545" Properties=species:S:1:pos:R:3 pbc="T T T"
Li 0.0000 0.0000 0.0000
Cu 1.9773 1.9773 1.9773
F 0.0000 1.9773 1.9773
F 1.9773 0.0000 1.9773
F 1.9773 1.9773 0.0000
```

Values from the calculation:
Total magnetic moment in μB/atom: 0.00
Symmetry: Pm-3m (221)

=====

Which structure wins on stability? version P wins.